Record 1
This record from Alexandria describes crystalline HoPaPdN3 at its relaxed geometry. The functional is PBE.

Cell: 6.182 3.627 8.978 Å, 90.00 105.02 90.00°
Positions (direct):
Ho 0.013 0.250 0.322
Ho 0.987 0.750 0.678
Pa 0.482 0.250 0.672
Pa 0.518 0.750 0.328
Pd 0.309 0.250 0.000
Pd 0.691 0.750 0.000
N 0.194 0.250 0.766
N 0.277 0.750 0.507
N 0.323 0.250 0.229
N 0.677 0.750 0.771
N 0.723 0.250 0.493
N 0.806 0.750 0.234

Magnetic moment   0.000 μB per formula unit
DFT total energy   -8.49 eV/atom

---

Record 2
This record from Alexandria describes crystalline Ho2PaPdN4 at its relaxed geometry. The functional is PBE.

Cell: 5.927 3.423 6.100 Å, 90.00 113.72 90.00°
Positions (direct):
Ho 0.000 0.000 0.000
Ho 0.500 0.500 0.000
Pa 0.000 0.500 0.500
Pd 0.500 0.000 0.500
N 0.217 0.000 0.764
N 0.240 0.500 0.262
N 0.760 0.500 0.738
N 0.783 0.000 0.236

Magnetic moment   0.455 μB per formula unit
DFT total energy   -8.27 eV/atom

---

Record 3
This record from Alexandria describes crystalline Pm3Ho2PaN6 at its relaxed geometry. The functional is PBE.

Cell: 6.105 6.105 6.152 Å, 99.50 99.50 120.00°
Positions (direct):
Pm 0.000 0.000 0.000
Pm 0.331 0.669 0.000
Pm 0.669 0.331 0.000
Ho 0.166 0.834 0.500
Ho 0.834 0.166 0.500
Pa 0.500 0.500 0.500
N 0.102 0.423 0.270
N 0.256 0.256 0.729
N 0.423 0.102 0.270
N 0.577 0.898 0.730
N 0.744 0.744 0.271
N 0.898 0.577 0.730

Magnetic moment   0.000 μB per formula unit
DFT total energy   -8.54 eV/atom

---

Record 4
This record from Alexandria describes crystalline Pm2HoPaN4 at its relaxed geometry. The functional is PBE.

Cell: 6.078 3.550 6.154 Å, 90.00 109.10 90.00°
Positions (direct):
Pm 0.000 0.000 0.000
Pm 0.500 0.500 0.000
Ho 0.000 0.500 0.500
Pa 0.500 0.000 0.500
N 0.255 0.000 0.726
N 0.266 0.500 0.277
N 0.734 0.500 0.723
N 0.745 0.000 0.274

Magnetic moment   0.000 μB per formula unit
DFT total energy   -8.73 eV/atom

---

Q: Look up the DFT total energy of the first one.
A: -8.49 eV/atom

---

Q: Look up the DFT total energy of the fourth one.
A: -8.73 eV/atom

---

Q: Among the records above, which one has the highest magnetic moment?
A: Ho2PaPdN4